(1)
Entry from Alexandria: a relaxed Bi2B2O7 crystal (GGA-PBE).

ΔE_f (raw) ... -1.570 eV/atom
Mass density ... 6.71 g cm⁻³
Total magnetization ... 0.000 μB per formula unit
Energy above the most stable polymorph in this dataset ... 62 meV/atom
Calculated volume ... 12.40 A^3/atom
Calculated total energy ... -146.19 eV/cell

Structure (POSCAR):
```
Bi2B2O7
1.0
5.879 0.042 -0.028
2.095 6.096 0.008
2.301 2.048 7.628
O B Bi
14 4 4
Cartesian
6.252 2.732 5.271 O
6.144 0.806 1.287 O
8.244 6.559 4.789 O
3.860 1.040 0.526 O
4.900 2.848 1.801 O
2.247 3.706 0.409 O
4.023 5.454 2.336 O
6.414 7.146 7.081 O
2.031 1.626 2.818 O
5.375 5.337 5.805 O
3.229 3.564 4.590 O
4.131 7.380 6.320 O
8.028 4.479 7.198 O
7.046 4.622 3.017 O
5.177 6.435 6.823 B
5.097 1.750 0.784 B
8.932 7.545 5.445 B
1.343 0.640 2.162 B
5.900 4.872 0.980 Bi
4.375 3.314 6.626 Bi
2.970 3.487 2.445 Bi
7.305 4.699 5.162 Bi
```

***

(2)
Entry from Alexandria: a relaxed Bi2B2O7 crystal (GGA-PBE).

ΔE_f (raw) ... -1.633 eV/atom
Mass density ... 6.16 g cm⁻³
Total magnetization ... 1.013 μB per formula unit
Energy above the most stable polymorph in this dataset ... 0 meV/atom
Calculated volume ... 13.51 A^3/atom
Calculated total energy ... -147.56 eV/cell

Structure (POSCAR):
```
Bi2B2O7
1.0
-2.613 -5.672 -1.785
5.762 -1.755 -2.586
0.729 0.466 7.965
Bi O B
4 14 4
Cartesian
3.203 -2.661 0.086 Bi
4.575 -2.332 4.392 Bi
-0.697 -4.629 -0.798 Bi
0.675 -4.300 3.507 Bi
0.712 -2.107 6.383 O
2.323 -5.568 2.585 O
1.555 -1.392 1.009 O
3.796 -3.735 2.019 O
0.082 -3.226 1.575 O
2.991 -1.486 5.859 O
-2.039 -5.340 2.775 O
4.963 -2.816 -1.660 O
1.745 -2.517 4.178 O
5.917 -1.621 0.818 O
3.166 -4.854 -2.790 O
2.134 -4.443 -0.585 O
-1.085 -4.144 5.254 O
0.887 -5.475 -2.266 O
1.758 -2.036 5.480 B
2.120 -4.924 -1.887 B
0.284 -1.933 1.165 B
3.594 -5.028 2.429 B
```